No. 1
The following is a PBE calculation of NaLuCo after structural relaxation, from OQMD.

Values from the calculation:
- Calculated total energy: -3.362 eV/atom
- Energy above the most stable polymorph in this dataset: 381 meV per atom

Lattice parameters (Å, degrees): 4.651 4.651 4.651 60.00 60.00 60.00
Fractional positions:
1 Lu 0.000 0.000 0.000
2 Co 0.750 0.750 0.750
3 Na 0.250 0.250 0.250



No. 2
The following is a PBE calculation of PaTcTe after structural relaxation, from OQMD.

Values from the calculation:
- Calculated total energy: -7.120 eV/atom
- Energy above the most stable polymorph in this dataset: 32 meV per atom

Lattice parameters (Å, degrees): 4.832 4.832 4.832 60.00 60.00 60.00
Fractional positions:
1 Pa 0.000 0.000 0.000
2 Tc 0.250 0.250 0.250
3 Te 0.750 0.750 0.750



No. 3
The following is a PBE calculation of Nb2CuSb after structural relaxation, from OQMD.

Values from the calculation:
- Calculated total energy: -6.736 eV/atom

Lattice parameters (Å, degrees): 4.648 4.648 4.648 60.00 60.00 60.00
Fractional positions:
1 Nb 0.000 0.000 0.000
2 Nb 0.750 0.750 0.750
3 Sb 0.500 0.500 0.500
4 Cu 0.250 0.250 0.250



No. 4
The following is a PBE calculation of LiReIrAu after structural relaxation, from OQMD.

Values from the calculation:
- Calculated total energy: -6.420 eV/atom
- Energy above the most stable polymorph in this dataset: 0 meV per atom

Lattice parameters (Å, degrees): 4.352 4.352 4.352 60.00 60.00 60.00
Fractional positions:
1 Li 0.750 0.750 0.750
2 Ir 0.250 0.250 0.250
3 Au 0.000 0.000 0.000
4 Re 0.500 0.500 0.500